Record 1
The following is a DFT calculation (PBE) of crystalline AlCr2SnBr at its relaxed geometry.

Cell and atoms, written as POSCAR:
```
AlCr2SnBr
1.0
4.8873 0.0000 0.0000
0.0000 5.2758 0.0000
0.0000 0.0000 4.8873
Br Cr Sn Al
1 2 1 1
Direct
0.0000 0.0000 0.0000 Br
0.0000 0.0000 0.5000 Cr
0.5000 0.0000 0.0000 Cr
0.5000 0.5000 0.5000 Sn
0.0000 0.5000 0.0000 Al
```

Values from the calculation:
SG: P4/mmm (123)
Uncorrected formation energy (meV per atom): 939
Energy above the most stable polymorph in this dataset (meV per atom): 0
Energy (eV per atom): -4.79
Density of states at the Fermi level (states/eV/f.u.): 2.30

Record 2
The following is a DFT calculation (PBE) of crystalline CsCaBiF6 at its relaxed geometry.

Cell and atoms, written as POSCAR:
```
CsCaBiF6
1.0
-0.8024 -8.1702 0.9902
7.8859 -0.3657 3.3731
-5.8422 5.1574 3.2930
Ca F Bi Cs
2 12 2 2
Direct
0.5000 0.0000 0.5000 Ca
0.0000 0.0000 0.5000 Ca
0.8217 0.0535 0.2338 F
0.5719 0.3219 0.1439 F
0.8217 0.6803 0.2338 F
0.1783 0.9465 0.7662 F
0.5879 0.3197 0.7662 F
0.4121 0.6803 0.2338 F
0.8157 0.0657 0.6314 F
0.1783 0.3197 0.7662 F
0.1843 0.9343 0.3686 F
0.4281 0.6781 0.8561 F
0.5879 0.9465 0.7662 F
0.4121 0.0535 0.2338 F
0.5000 0.0000 0.0000 Bi
0.5000 0.5000 0.0000 Bi
0.9406 0.6906 0.8811 Cs
0.0594 0.3094 0.1189 Cs
```

Values from the calculation:
SG: Imma (74)
Uncorrected formation energy (meV per atom): -3012
Energy (eV per atom): -5.01
Density of states at the Fermi level (states/eV/f.u.): 0.00

Record 3
The following is a DFT calculation (PBE) of crystalline ZnReAg3 at its relaxed geometry.

Cell and atoms, written as POSCAR:
```
ZnReAg3
1.0
4.7292 0.0000 0.0000
0.0000 4.7292 0.0000
0.0000 0.0000 4.7292
Re Ag Zn
1 3 1
Direct
0.5000 0.5000 0.5000 Re
0.0000 0.0000 0.5000 Ag
0.5000 0.0000 0.0000 Ag
0.0000 0.5000 0.0000 Ag
0.0000 0.0000 0.0000 Zn
```

Values from the calculation:
SG: Pm-3m (221)
Energy above the most stable polymorph in this dataset (meV per atom): 0
Energy (eV per atom): -3.03
Density of states at the Fermi level (states/eV/f.u.): 2.45
Formation energy from the elements (eV per formula unit): 7.13

Record 4
The following is a DFT calculation (PBE) of crystalline Ca8CuPd2 at its relaxed geometry.

Cell and atoms, written as POSCAR:
```
Ca8CuPd2
1.0
6.1298 0.1087 -0.9988
-1.9594 7.1299 -2.9404
-0.0562 -0.0585 7.9570
Pd Ca Cu
2 8 1
Direct
0.4924 0.6941 0.3202 Pd
0.4924 0.3202 0.6941 Pd
0.3793 0.9301 0.6643 Ca
0.3793 0.6643 0.9301 Ca
0.5735 0.3404 0.0767 Ca
0.7958 0.6381 0.6381 Ca
0.9821 0.7796 0.2195 Ca
0.5735 0.0767 0.3404 Ca
0.9821 0.2195 0.7796 Ca
0.1806 0.3691 0.3691 Ca
0.1688 0.0018 0.0018 Cu
```

Values from the calculation:
SG: Cm (8)
Energy (eV per atom): -3.05
Density of states at the Fermi level (states/eV/f.u.): 6.71
Formation energy from the elements (eV per formula unit): -3.02

Record 5
The following is a DFT calculation (PBE) of crystalline Th3NpIn12 at its relaxed geometry.

Cell and atoms, written as POSCAR:
```
Th3NpIn12
1.0
4.7181 0.0000 0.0000
0.0000 4.7181 0.0000
0.0000 0.0000 18.8505
In Np Th
12 1 3
Direct
0.0000 0.5000 0.6264 In
0.5000 0.5000 0.0000 In
0.5000 0.5000 0.2469 In
0.0000 0.5000 0.1202 In
0.5000 0.5000 0.5000 In
0.5000 0.5000 0.7531 In
0.5000 0.0000 0.1202 In
0.5000 0.0000 0.6264 In
0.0000 0.5000 0.3736 In
0.5000 0.0000 0.8798 In
0.0000 0.5000 0.8798 In
0.5000 0.0000 0.3736 In
0.0000 0.0000 0.0000 Np
0.0000 0.0000 0.2477 Th
0.0000 0.0000 0.5000 Th
0.0000 0.0000 0.7523 Th
```

Values from the calculation:
SG: P4/mmm (123)
Energy (eV per atom): -4.52
Density of states at the Fermi level (states/eV/f.u.): 17.65
Formation energy from the elements (eV per formula unit): -4.19

Record 6
The following is a DFT calculation (PBE) of crystalline Zn9CuIr2 at its relaxed geometry.

Cell and atoms, written as POSCAR:
```
Zn9CuIr2
1.0
5.6939 -1.8840 0.3003
0.9632 4.7044 0.5156
-0.7205 0.1469 6.0586
Zn Ir Cu
9 2 1
Direct
0.7662 0.2400 0.2638 Zn
0.2338 0.7600 0.7362 Zn
0.5854 0.7491 0.0790 Zn
0.5000 0.5000 0.5000 Zn
0.3059 0.0103 0.3192 Zn
0.6941 0.9897 0.6808 Zn
0.1623 0.5136 0.1745 Zn
0.4146 0.2509 0.9210 Zn
0.8377 0.4864 0.8255 Zn
0.8888 0.7431 0.4018 Ir
0.1112 0.2569 0.5982 Ir
0.0000 0.0000 0.0000 Cu
```

Values from the calculation:
SG: P-1 (2)
Energy (eV per atom): -2.86
Density of states at the Fermi level (states/eV/f.u.): 3.81
Formation energy from the elements (eV per formula unit): -1.06

Record 7
The following is a DFT calculation (PBE) of crystalline LiAlIn3 at its relaxed geometry.

Cell and atoms, written as POSCAR:
```
LiAlIn3
1.0
-3.8500 -1.0555 3.0374
-2.8295 -1.1391 -3.9823
1.5277 -4.7698 0.2789
Li In Al
1 3 1
Direct
0.0000 0.0000 0.0000 Li
0.0000 0.0000 0.5000 In
0.5000 0.0000 0.0000 In
0.0000 0.5000 0.0000 In
0.5000 0.5000 0.5000 Al
```

Values from the calculation:
SG: Pm-3m (221)
Energy above the most stable polymorph in this dataset (meV per atom): 27
Energy (eV per atom): -2.47
Density of states at the Fermi level (states/eV/f.u.): 1.86
Formation energy from the elements (eV per formula unit): 1.52

Record 8
The following is a DFT calculation (PBE) of crystalline Li2Mg5Pd2 at its relaxed geometry.

Cell and atoms, written as POSCAR:
```
Li2Mg5Pd2
1.0
6.9422 0.0000 0.0000
0.0000 6.2912 -3.2341
0.0000 0.3449 8.4071
Mg Pd Li
10 4 4
Direct
0.6638 0.0466 0.7662 Mg
0.8362 0.5466 0.7662 Mg
0.0000 0.0000 0.0000 Mg
0.3362 0.9534 0.2338 Mg
0.8362 0.7804 0.2338 Mg
0.1638 0.4534 0.2338 Mg
0.3362 0.7196 0.7662 Mg
0.1638 0.2196 0.7662 Mg
0.6638 0.2804 0.2338 Mg
0.5000 0.5000 0.0000 Mg
0.1395 0.6399 0.0000 Pd
0.8605 0.3601 0.0000 Pd
0.6395 0.8601 0.0000 Pd
0.3605 0.1399 0.0000 Pd
0.0000 0.2196 0.4393 Li
0.5000 0.2804 0.5607 Li
0.5000 0.7196 0.4393 Li
0.0000 0.7804 0.5607 Li
```

Values from the calculation:
SG: Cmce (64)
Energy above the most stable polymorph in this dataset (meV per atom): 46
Energy (eV per atom): -2.73
Density of states at the Fermi level (states/eV/f.u.): 3.27
Formation energy from the elements (eV per formula unit): -2.37